Arrangement A

First-principles (GGA-PBE) data for a relaxed MnBeBr2 crystal, as listed in the Alexandria database.

a b c (Å): 3.598 3.598 9.232
angles (deg): 72.93 72.93 55.69
Last column: magnetic moment on the atom in μB.
Fractional positions:
Be 0.301 0.301 0.270  -0.07
Mn 0.552 0.552 0.467  3.91
Br 0.863 0.863 0.106  0.02
Br 0.784 0.784 0.657  0.10

Computed properties:
As for the theoretical density: 3.99 Mg/m³. As for the crystal system: monoclinic. The space-group type is No. 8. The volume comes out at 23.3 Å³ per atom.

---

Arrangement B

First-principles (GGA-PBE) data for a relaxed MnBeBr2 crystal, as listed in the Alexandria database.

a b c (Å): 5.654 5.654 6.614
angles (deg): 64.70 64.70 90.00
Last column: magnetic moment on the atom in μB.
Fractional positions:
Be 0.500 0.500 0.000  -0.09
Be 0.250 0.750 0.500  -0.09
Mn 0.000 0.000 0.000  3.44
Mn 0.750 0.250 0.500  3.44
Br 0.582 0.125 0.250  -0.01
Br 0.168 0.625 0.250  -0.01
Br 0.375 0.418 0.750  -0.01
Br 0.875 0.832 0.750  -0.01

Computed properties:
As for the theoretical density: 4.41 Mg/m³. As for the crystal system: tetragonal. The space-group type is No. 122. The volume comes out at 21.1 Å³ per atom.

---

Arrangement C

First-principles (GGA-PBE) data for a relaxed MnBeBr2 crystal, as listed in the Alexandria database.

a b c (Å): 4.996 4.996 4.996
angles (deg): 60.00 60.00 60.00
Last column: magnetic moment on the atom in μB.
Fractional positions:
Be 0.500 0.500 0.500  -0.01
Mn 0.250 0.250 0.250  4.29
Br 0.000 0.000 0.000  0.05
Br 0.750 0.750 0.750  0.04

Computed properties:
As for the theoretical density: 4.21 Mg/m³. As for the crystal system: cubic. The space-group type is No. 216. The volume comes out at 22.0 Å³ per atom.

---

Arrangement D

First-principles (GGA-PBE) data for a relaxed MnBeBr2 crystal, as listed in the Alexandria database.

a b c (Å): 4.816 4.816 4.816
angles (deg): 60.00 60.00 60.00
Last column: magnetic moment on the atom in μB.
Fractional positions:
Be 0.000 0.000 0.000  -0.04
Mn 0.500 0.500 0.500  4.15
Br 0.250 0.250 0.250  0.03
Br 0.750 0.750 0.750  0.03

Computed properties:
As for the theoretical density: 4.71 Mg/m³. As for the crystal system: cubic. The space-group type is No. 225. The volume comes out at 19.7 Å³ per atom.

---

Energy above the most stable structure, in meV per atom: arrangement A 0; arrangement B 497; arrangement C 996; arrangement D 697